{
  "formula": "MgAsRu2",
  "functional": "GGA-PBE",
  "state": "relaxed",
  "cell": [[2.919, 0.000, 0.000], [0.000, 2.919, 0.000], [0.000, 0.000, 7.650]],
  "species": ["As", "Mg", "Ru", "Ru"],
  "fractional_positions": [[0.000, 0.000, 0.451], [0.500, 0.500, 0.782], [0.000, 0.000, 0.021], [0.500, 0.500, 0.246]],
  "volume_a3_per_cell": 65.2,
  "magmom_total_mub_per_cell": 0.0,
  "space_group": "P4mm, No. 99",
  "delta_e_f_ev_per_fu": -0.06
}